First-principles (GGA-PBE) data for a geometry-optimized Ac2PmAu5 structure, as listed in the Alexandria database.

```
Ac2PmAu5
1.0
-2.680 2.680 7.258
2.680 -2.680 7.258
2.680 2.680 -7.258
Ac Pm Au
2 1 5
Direct
0.223 0.223 0.000
0.777 0.777 0.000
0.500 0.500 0.000
0.000 0.000 0.000
0.110 0.610 0.500
0.390 0.890 0.500
0.610 0.110 0.500
0.890 0.390 0.500
```

Summary:
Calculated density: 12.61 Mg/m³
Energy: -34.81 eV per cell
Total magnetic moment: 0.0000 μB/atom
D(E_F): 0.785 states/eV per atom
Formation enthalpy at 0 K: -0.682 eV per atom